No. 1
Computed, not measured: an optimized crystal structure of RuBr3 at the GGA-PBE level of DFT.

```
RuBr3
1.0
4.6494 0.0000 0.0000
0.0000 4.6494 0.0000
0.0000 0.0000 4.6494
Ru Br
1 3
Direct
0.0000 0.0000 0.0000 Ru
0.0000 0.5000 0.5000 Br
0.5000 0.5000 0.0000 Br
0.5000 0.0000 0.5000 Br
```

Output
VASP energy = -2.4949 eV/atom
Total magnetization = 5.0 Bohr magnetons per cell
Crystal system = cubic
Volume = 100.5 Å³/cell
E_form (uncorrected) = 104.1 kJ/mol of atoms


No. 2
Computed, not measured: an optimized crystal structure of Ru3Br5 at the GGA-PBE level of DFT.

```
Ru3Br5
1.0
-3.3247 5.5184 3.8492
-3.6341 -3.3559 -5.6439
-2.5558 -4.5925 4.3764
Br Ru
10 6
Direct
0.0000 0.7586 0.7500 Br
0.2414 0.2414 0.7500 Br
0.7586 0.7586 0.2500 Br
0.6667 0.3333 0.0000 Br
0.3333 0.6667 0.0000 Br
0.7586 0.0000 0.7500 Br
0.2414 0.0000 0.2500 Br
0.3333 0.6667 0.5000 Br
0.0000 0.2414 0.2500 Br
0.6667 0.3333 0.5000 Br
0.0000 0.5670 0.2500 Ru
0.5670 0.5670 0.7500 Ru
0.4330 0.0000 0.7500 Ru
0.0000 0.4330 0.7500 Ru
0.5670 0.0000 0.2500 Ru
0.4330 0.4330 0.2500 Ru
```

Output
VASP energy = -3.8064 eV/atom
Total magnetization = 4.3 Bohr magnetons per cell
Crystal system = hexagonal
Volume = 333.6 Å³/cell
Energy above the lowest structure with this stoichiometry = 421 meV per atom
E_form (uncorrected) = 69.2 kJ/mol of atoms